No. 1
This record from the Alexandria database describes a relaxed structure of Tm5Te4Pb. The functional is GGA-PBE.

a = 4.320 Å, b = 4.320 Å, c = 30.739 Å
α = 90.00°, β = 90.00°, γ = 90.00°
Space group I4/mmm (No. 139)
One atom of each set of equivalent atoms:
Tm 0.000 0.000 0.000 [2 per cell]
Tm 0.000 0.000 0.205 [4 per cell]
Tm 0.000 0.000 0.403 [4 per cell]
Te 0.000 0.000 0.103 [4 per cell]
Te 0.000 0.000 0.303 [4 per cell]
Pb 0.000 0.000 0.500 [2 per cell]

## Properties
* energy relative to the elements, uncorrected: -10.55 eV/f.u.

No. 2
This record from the Alexandria database describes a relaxed structure of Tm2TePb. The functional is GGA-PBE.

a = 4.3354 Å, b = 4.3354 Å, c = 22.2547 Å
α = 90.00°, β = 90.00°, γ = 120.00°
Space group R3m (No. 160, hexagonal axes)
One atom of each set of equivalent atoms:
Tm 0.0000 0.0000 0.0000 [3 per cell]
Tm 0.0000 0.0000 0.1788 [3 per cell]
Te 0.0000 0.0000 0.4203 [3 per cell]
Pb 0.0000 0.0000 0.5908 [3 per cell]

## Properties
* energy relative to the elements, uncorrected: -3.05 eV/f.u.

No. 3
This record from the Alexandria database describes a relaxed structure of Tm8TePb5. The functional is GGA-PBE.

a = 9.229 Å, b = 9.229 Å, c = 9.276 Å
α = 90.00°, β = 90.00°, γ = 90.00°
Space group I-4 (No. 82)
One atom of each set of equivalent atoms:
Tm 0.072 0.322 0.051 [8 per cell]
Tm 0.075 0.179 0.695 [8 per cell]
Te 0.000 0.000 0.000 [2 per cell]
Pb 0.000 0.500 0.750 [2 per cell]
Pb 0.126 0.250 0.373 [8 per cell]

## Properties
* energy relative to the elements, uncorrected: -7.76 eV/f.u.

No. 4
This record from the Alexandria database describes a relaxed structure of Tm5TePb4. The functional is GGA-PBE.

a = 9.812 Å, b = 9.812 Å, c = 6.197 Å
α = 90.00°, β = 90.00°, γ = 90.00°
Space group I4/m (No. 87)
One atom of each set of equivalent atoms:
Tm 0.000 0.000 0.000 [2 per cell]
Tm 0.098 0.701 0.500 [8 per cell]
Te 0.000 0.000 0.500 [2 per cell]
Pb 0.101 0.701 0.000 [8 per cell]

## Properties
* energy relative to the elements, uncorrected: -5.14 eV/f.u.

Question: What is the formula in the second record?
Answer: Tm2TePb